No. 1
The following is a DFT calculation (PBE-GGA) of a relaxed structure of K4As5.

The total energy is -3.21 eV per atom. The calculation puts the energy above the most stable polymorph in this dataset at 0.000 eV/atom. Its crystal system is tetragonal. Its total magnetization is 0.070 μB per atom.

Cell: 10.070 10.070 10.070 Å, 91.98 91.98 158.59°
Fractional positions:
K (0.000, 0.224, 0.224)
K (0.000, 0.776, 0.776)
K (0.224, 0.000, 0.224)
K (0.776, 0.000, 0.776)
As (0.000, 0.000, 0.000)
As (0.290, 0.290, 0.580)
As (0.290, 0.710, 0.000)
As (0.710, 0.290, 0.000)
As (0.710, 0.710, 0.420)



No. 2
The following is a DFT calculation (PBE-GGA) of a relaxed structure of TiPd2Au6.

The total energy is -4.29 eV per atom. The calculation puts the energy above the most stable polymorph in this dataset at 0.162 eV/atom. Its crystal system is monoclinic. Its total magnetization is 0.000 μB per atom.

Cell: 8.299 8.299 2.855 Å, 99.75 99.75 55.98°
Fractional positions:
Ti (0.000, 0.000, 0.000)
Pd (0.333, 0.333, 0.332)
Pd (0.667, 0.667, 0.668)
Au (0.017, 0.654, 0.835)
Au (0.312, 0.688, 0.500)
Au (0.346, 0.983, 0.165)
Au (0.654, 0.017, 0.835)
Au (0.688, 0.312, 0.500)
Au (0.983, 0.346, 0.165)



No. 3
The following is a DFT calculation (PBE-GGA) of a relaxed structure of TaTlSb.

The total energy is -5.74 eV per atom. The calculation puts the energy above the most stable polymorph in this dataset at 0.035 eV/atom. Its crystal system is trigonal. Its total magnetization is 0.000 μB per atom. The value obtained for the raw formation energy is 376 meV/atom.

Cell: 3.296 3.296 7.484 Å, 90.00 90.00 120.00°
Fractional positions:
Ta (0.000, 0.000, 0.000)
Tl (0.667, 0.333, 0.323)
Sb (0.333, 0.667, 0.713)



No. 4
The following is a DFT calculation (PBE-GGA) of a relaxed structure of TlOsW2.

The total energy is -9.09 eV per atom. The calculation puts the energy above the most stable polymorph in this dataset at 0.239 eV/atom. Its crystal system is orthorhombic. Its total magnetization is 0.000 μB per atom.

Cell: 3.029 4.806 9.602 Å, 90.00 90.00 90.00°
Fractional positions:
Tl (0.000, 0.000, 0.000)
Tl (0.500, 0.500, 0.000)
Os (0.000, 0.000, 0.500)
Os (0.500, 0.500, 0.500)
W (0.000, 0.500, 0.271)
W (0.000, 0.500, 0.729)
W (0.500, 0.000, 0.271)
W (0.500, 0.000, 0.729)



Copy entry 2 word for word.
The following is a DFT calculation (PBE-GGA) of a relaxed structure of TiPd2Au6.

The total energy is -4.29 eV per atom. The calculation puts the energy above the most stable polymorph in this dataset at 0.162 eV/atom. Its crystal system is monoclinic. Its total magnetization is 0.000 μB per atom.

Cell: 8.299 8.299 2.855 Å, 99.75 99.75 55.98°
Fractional positions:
Ti (0.000, 0.000, 0.000)
Pd (0.333, 0.333, 0.332)
Pd (0.667, 0.667, 0.668)
Au (0.017, 0.654, 0.835)
Au (0.312, 0.688, 0.500)
Au (0.346, 0.983, 0.165)
Au (0.654, 0.017, 0.835)
Au (0.688, 0.312, 0.500)
Au (0.983, 0.346, 0.165)



Question: Look up the total magnetization of the first one.
Answer: 0.070 μB per atom



Question: The highest total magnetization belongs to which entry?
Answer: K4As5